(1)
## ErInSnPd (GGA-PBE)

Data for a relaxed ErInSnPd crystal.

It has space group F-43m (No. 216), with a = 7.0968 Å, b = 7.0968 Å, c = 7.0968 Å, α = 90.00°, β = 90.00° and γ = 90.00°. The distinct sites, in fractional coordinates, are Er at (0.0000, 0.0000, 0.0000), In at (0.0000, 0.0000, 0.5000), Sn at (0.2500, 0.2500, 0.7500) and Pd at (0.2500, 0.2500, 0.2500).

***

(2)
## TbErInPd (GGA-PBE)

Data for a relaxed TbErInPd crystal.

It has space group F-43m (No. 216), with a = 7.2802 Å, b = 7.2802 Å, c = 7.2802 Å, α = 90.00°, β = 90.00° and γ = 90.00°. The distinct sites, in fractional coordinates, are Tb at (0.0000, 0.0000, 0.0000), Er at (0.0000, 0.0000, 0.5000), In at (0.2500, 0.2500, 0.2500) and Pd at (0.2500, 0.2500, 0.7500).

***

(3)
## ErThInPd (GGA-PBE)

Data for a relaxed ErThInPd crystal.

It has space group F-43m (No. 216), with a = 7.4115 Å, b = 7.4115 Å, c = 7.4115 Å, α = 90.00°, β = 90.00° and γ = 90.00°. The distinct sites, in fractional coordinates, are Er at (0.0000, 0.0000, 0.0000), Th at (0.0000, 0.0000, 0.5000), In at (0.2500, 0.2500, 0.2500) and Pd at (0.2500, 0.2500, 0.7500).

***

(4)
## ErTm2InPd4 (GGA-PBE)

Data for a relaxed ErTm2InPd4 crystal.

It has space group R-3m (No. 166, hexagonal axes), with a = 4.8424 Å, b = 4.8424 Å, c = 23.7196 Å, α = 90.00°, β = 90.00° and γ = 120.00°. The distinct sites, in fractional coordinates, are Er at (0.0000, 0.0000, 0.0000), Tm at (0.0000, 0.0000, 0.2456), In at (0.0000, 0.0000, 0.5000), Pd at (0.0000, 0.0000, 0.1223) and Pd at (0.0000, 0.0000, 0.3732).

***

(5)
## YErInPd (GGA-PBE)

Data for a relaxed YErInPd crystal.

It has space group F-43m (No. 216), with a = 7.2716 Å, b = 7.2716 Å, c = 7.2716 Å, α = 90.00°, β = 90.00° and γ = 90.00°. The distinct sites, in fractional coordinates, are Y at (0.0000, 0.0000, 0.0000), Er at (0.0000, 0.0000, 0.5000), In at (0.2500, 0.2500, 0.7500) and Pd at (0.2500, 0.2500, 0.2500).

***

(6)
## PmEr4In (GGA-PBE)

Data for a relaxed PmEr4In crystal.

The value obtained for the distance to the lowest polymorph of the same formula is 0.93 kcal/mol of atoms.

It has space group C2/c (No. 15), with a = 10.3716 Å, b = 6.0394 Å, c = 11.7506 Å, α = 90.00°, β = 106.45° and γ = 90.00°. The distinct sites, in fractional coordinates, are Pm at (0.0000, 0.0922, 0.2500), Er at (0.0819, 0.2528, 0.9998), Er at (0.1738, 0.4313, 0.7518) and In at (0.2500, 0.2500, 0.5000).

***

no.,energy (eV for the cell shown),density (g cm⁻³),ΔE_f (meV/atom)
1,-73.39,9.426,-463
2,-78.21,9.423,-607
3,-86.76,10.124,-444
4,-132.10,10.814,-877
5,-85.76,8.247,-621
6,-105.54,8.740,-108